# Na2CoSe2O6, optimized geometry, DFT PBE+U
data_Na2CoSe2O6
_chemical_formula_sum 'Na2 Co1 Se2 O6'
_cell_length_a 6.401
_cell_length_b 6.401
_cell_length_c 6.401
_cell_angle_alpha 50.38
_cell_angle_beta 50.38
_cell_angle_gamma 50.38
_space_group_name_H-M_alt 'P 1'
_space_group_IT_number 1
loop_
_space_group_symop_operation_xyz
'x,y,z'
loop_
_atom_site_label
_atom_site_type_symbol
_atom_site_fract_x
_atom_site_fract_y
_atom_site_fract_z
_atom_site_occupancy
O1 O 0.250 0.250 0.746 1
O2 O 0.746 0.250 0.250 1
O3 O 0.750 0.254 0.750 1
O4 O 0.250 0.746 0.250 1
O5 O 0.254 0.750 0.750 1
O6 O 0.750 0.750 0.254 1
Se1 Se 0.628 0.628 0.628 1
Se2 Se 0.372 0.372 0.372 1
Na1 Na 0.189 0.189 0.189 1
Na2 Na 0.811 0.811 0.811 1
Co1 Co 0.000 0.000 0.000 1
# Electronic total energy (eV per atom): -5.15
# Total magnetization (μB/f.u.): 2.999
# V (Å³/cell): 143.4